A plane-wave DFT calculation with PBE-GGA was carried out for a geometry-optimized Na5Sr3Br12 structure.

Geometry as extended XYZ:
```
80
Lattice="15.276 0.000 0.000 -5.092 14.403 0.000 -5.092 -7.201 12.473" Properties=species:S:1:pos:R:3 pbc="T T T"
Sr 8.911 4.501 1.559
Sr 8.911 9.902 1.559
Sr -1.273 6.301 7.796
Sr 1.273 -0.900 4.677
Sr 11.457 0.000 3.118
Sr 1.273 7.201 3.118
Sr 3.819 0.000 9.355
Sr -6.365 7.201 9.355
Sr 3.819 8.101 7.796
Sr 6.365 0.900 4.677
Sr -3.819 -2.700 10.914
Sr -3.819 2.700 10.914
Na -1.273 3.601 3.118
Na -2.546 7.201 0.000
Na 0.000 0.000 0.000
Na 3.819 2.700 1.559
Na 5.092 -3.601 6.236
Na 5.092 7.201 0.000
Na -3.819 8.101 4.677
Na 6.365 -4.501 10.914
Na 6.365 6.301 4.677
Na 1.273 -3.601 9.355
Na 3.819 10.802 3.118
Na 2.546 3.601 6.236
Na 7.638 0.000 0.000
Na -2.546 -3.601 6.236
Na -1.273 0.900 7.796
Na -1.273 11.702 1.559
Na -5.092 3.601 6.236
Na 8.911 -0.900 7.796
Na 1.273 4.501 10.914
Na 6.365 3.601 9.355
Br 10.139 1.565 0.601
Br 0.045 4.904 5.181
Br 11.265 3.302 3.442
Br 6.557 2.270 1.656
Br 1.904 5.561 8.430
Br 10.668 7.154 2.193
Br -1.081 8.233 5.098
Br -4.011 12.132 1.656
Br 0.642 8.842 8.430
Br 7.154 7.249 2.193
Br 7.684 3.863 4.580
Br 7.684 12.837 0.601
Br -4.450 6.480 6.837
Br 3.030 5.326 1.138
Br -5.137 10.540 4.580
Br 2.591 -2.298 7.292
Br -0.642 0.919 2.794
Br 3.030 9.125 1.055
Br 6.557 11.101 3.442
Br -0.484 5.278 1.055
Br -3.188 8.121 9.679
Br 3.627 6.170 5.098
Br 6.996 7.923 6.837
Br 5.576 -1.875 11.335
Br 1.465 1.031 7.374
Br -1.904 -0.721 5.636
Br -0.484 9.077 1.138
Br -1.465 -3.900 9.031
Br 8.280 -0.919 2.794
Br 5.576 1.923 11.418
Br 2.062 -1.923 11.418
Br 2.501 9.499 5.181
Br 5.734 6.282 9.679
Br 10.230 -3.338 7.893
Br 9.542 0.721 5.636
Br -2.591 -5.636 11.872
Br 2.062 1.875 11.335
Br 4.450 -1.641 4.043
Br -2.062 -0.048 10.280
Br -2.591 3.338 7.893
Br 9.103 -4.931 10.817
Br 6.173 -1.031 7.374
Br -1.465 4.931 10.817
Br -5.576 0.048 10.280
Br 3.188 1.641 4.043
Br -6.173 3.900 9.031
Br 5.047 2.298 7.292
Br -5.047 5.636 11.872
```

The crystal system is cubic. Its calculated total energy is -3.22 eV per atom. The calculation puts the energy relative to the elements, uncorrected at -1634 meV per atom.